# BaNpPdSe4 | Alexandria | PBE-GGA | relaxed
data_BaNpPdSe4
_chemical_formula_sum 'Ba2 Np2 Pd2 Se8'
_symmetry_space_group_name_H-M 'P 1 21/m 1'
_symmetry_Int_Tables_number 11
_cell_length_a 7.2468
_cell_length_b 5.8645
_cell_length_c 9.1145
_cell_angle_alpha 90.00
_cell_angle_beta 109.08
_cell_angle_gamma 90.00
loop_
_symmetry_equiv_pos_as_xyz
'x,y,z'
'-x,-y,-z'
'-x,y+1/2,-z'
'x,-y+1/2,z'
loop_
_atom_site_label
_atom_site_type_symbol
_atom_site_fract_x
_atom_site_fract_y
_atom_site_fract_z
Ba1 Ba 0.2496 0.2500 0.0613
Np1 Np 0.2728 0.2500 0.5571
Pd1 Pd 0.2411 0.7500 0.3014
Se1 Se 0.0331 0.5136 0.7114
Se2 Se 0.4280 0.7500 0.5873
Se3 Se 0.4584 0.7500 0.1390
# - total DFT energy (no corrections) (eV for the cell shown) = -82.9
# - magnetization (μB/atom) = 0.37